(1)
A geometry-optimized CdBrCl2 structure. Source: Alexandria, functional PBE.

Results
SG: Imm2 (44)
Formation energy (no corrections) in eV per atom: -0.527

Unit cell a=7.5439 b=7.5439 c=7.5439 alpha=150.59 beta=137.59 gamma=52.45
Fractional positions:
Cl 0.0926 0.0926 0.0000
Cl 0.8344 0.3344 0.5000
Br 0.3586 0.3586 0.0000
Cd 0.2144 0.7144 0.5000

---

(2)
A geometry-optimized Cd2BrCl2 structure. Source: Alexandria, functional PBE.

Results
SG: Pnma (62)
Formation energy (no corrections) in eV per atom: -0.721

Unit cell a=5.6338 b=8.0594 c=12.7356 alpha=90.00 beta=90.00 gamma=90.00
Fractional positions:
Cd 0.7500 0.3929 0.7473
Cd 0.2500 0.1071 0.2473
Cd 0.2500 0.6071 0.2527
Cd 0.7500 0.8929 0.7527
Cd 0.7500 0.8407 0.0912
Cd 0.2500 0.6593 0.5912
Cd 0.2500 0.1593 0.9088
Cd 0.7500 0.3407 0.4088
Br 0.7500 0.1414 0.6040
Br 0.2500 0.3586 0.1040
Br 0.2500 0.8586 0.3960
Br 0.7500 0.6414 0.8960
Cl 0.7500 0.6424 0.5964
Cl 0.2500 0.8576 0.0964
Cl 0.2500 0.3576 0.4036
Cl 0.7500 0.1424 0.9036
Cl 0.7500 0.0987 0.2490
Cl 0.2500 0.4013 0.7490
Cl 0.2500 0.9013 0.7510
Cl 0.7500 0.5987 0.2510

---

(3)
A geometry-optimized CdBrCl2 structure. Source: Alexandria, functional PBE.

Results
SG: Pmmm (47)
Formation energy (no corrections) in eV per atom: -0.171

Unit cell a=3.8735 b=6.2942 c=4.1144 alpha=90.00 beta=90.00 gamma=90.00
Fractional positions:
Cl 0.0000 0.0000 0.0000
Cl 0.5000 0.5000 0.0000
Br 0.5000 0.0000 0.5000
Cd 0.0000 0.5000 0.5000

---

(4)
A geometry-optimized Cd2BrCl2 structure. Source: Alexandria, functional PBE.

Results
SG: P4/mbm (127)
Formation energy (no corrections) in eV per atom: -0.592

Unit cell a=7.7525 b=7.7525 c=4.0668 alpha=90.00 beta=90.00 gamma=90.00
Fractional positions:
Cl 0.1544 0.6544 0.5000
Cl 0.6544 0.8456 0.5000
Cl 0.8456 0.3456 0.5000
Cl 0.3456 0.1544 0.5000
Br 0.0000 0.0000 0.0000
Br 0.5000 0.5000 0.0000
Cd 0.3329 0.8329 0.0000
Cd 0.8329 0.6671 0.0000
Cd 0.6671 0.1671 0.0000
Cd 0.1671 0.3329 0.0000

---

(5)
A geometry-optimized CdBr2Cl6 structure. Source: Alexandria, functional PBE.

Results
SG: P-1 (2)
Formation energy (no corrections) in eV per atom: -0.131

Unit cell a=4.2268 b=10.1685 c=8.8259 alpha=121.34 beta=96.80 gamma=108.85
Fractional positions:
Cd 0.0000 0.0000 0.0000
Br 0.5010 0.9382 0.1797
Br 0.4990 0.0618 0.8203
Cl 0.7231 0.5457 0.2191
Cl 0.2769 0.4543 0.7809
Cl 0.7334 0.6789 0.7205
Cl 0.9504 0.2322 0.5058
Cl 0.0496 0.7678 0.4942
Cl 0.2666 0.3211 0.2795

---

(6)
A geometry-optimized CdBrCl2 structure. Source: Alexandria, functional PBE.

Results
SG: P2/m (10)
Formation energy (no corrections) in eV per atom: -0.467

Unit cell a=3.4306 b=3.5087 c=10.7130 alpha=80.22 beta=90.00 gamma=90.00
Site moments in Bohr magnetons follow the coordinates.
Fractional positions:
Cl 0.0000 0.9672 0.9002  0.00
Cl 0.0000 0.5328 0.5998  0.00
Br 0.5000 0.2500 0.2500  0.24
Cd 0.5000 0.7500 0.7500  0.00

---

(7)
A geometry-optimized CdBr3Cl structure. Source: Alexandria, functional PBE.

Results
SG: Pm-3m (221)
Formation energy (no corrections) in eV per atom: -0.021

Unit cell a=5.4962 b=5.4962 c=5.4962 alpha=90.00 beta=90.00 gamma=90.00
Site moments in Bohr magnetons follow the coordinates.
Fractional positions:
Cd 0.0000 0.0000 0.0000  0.00
Br 0.0000 0.5000 0.0000  0.31
Br 0.0000 0.0000 0.5000  0.31
Br 0.5000 0.0000 0.0000  0.31
Cl 0.5000 0.5000 0.5000  0.65

---

(8)
A geometry-optimized CdBrCl2 structure. Source: Alexandria, functional PBE.

Results
SG: P4/mmm (123)
Formation energy (no corrections) in eV per atom: -0.414

Unit cell a=3.2781 b=3.2781 c=10.7455 alpha=90.00 beta=90.00 gamma=90.00
Fractional positions:
Cl 0.0000 0.0000 0.8992
Cl 0.0000 0.0000 0.6008
Br 0.5000 0.5000 0.2500
Cd 0.5000 0.5000 0.7500